# 1
Density functional theory data (GGA-PBE) for a relaxed structure of LiTlAg2.

a b c (Å): 9.446 9.446 9.446
angles (deg): 19.54 19.54 19.54
Fractional positions:
Tl (0.750, 0.750, 0.750)
Ag (0.991, 0.991, 0.991)
Ag (0.509, 0.509, 0.509)
Li (0.250, 0.250, 0.250)

Energy of formation from the pure elements   0.072 eV/atom
Crystal system   trigonal
Space-group type   R-3m



# 2
Density functional theory data (GGA-PBE) for a relaxed structure of Li7TlAg12.

a b c (Å): 7.217 7.217 7.217
angles (deg): 90.79 90.79 90.79
Fractional positions:
Ag (0.506, 0.402, 0.832)
Ag (0.832, 0.506, 0.402)
Ag (0.125, 0.712, 0.252)
Ag (0.252, 0.125, 0.712)
Ag (0.402, 0.832, 0.506)
Ag (0.168, 0.494, 0.598)
Ag (0.494, 0.598, 0.168)
Ag (0.875, 0.288, 0.748)
Ag (0.598, 0.168, 0.494)
Ag (0.712, 0.252, 0.125)
Ag (0.748, 0.875, 0.288)
Ag (0.288, 0.748, 0.875)
Li (0.174, 0.388, 0.018)
Li (0.612, 0.982, 0.826)
Li (0.982, 0.826, 0.612)
Li (0.826, 0.612, 0.982)
Li (0.388, 0.018, 0.174)
Li (0.500, 0.500, 0.500)
Li (0.018, 0.174, 0.388)
Tl (0.000, 0.000, 0.000)

Energy of formation from the pure elements   -0.079 eV/atom
Crystal system   trigonal
Space-group type   R-3



# 3
Density functional theory data (GGA-PBE) for a relaxed structure of Li2TlAg.

a b c (Å): 8.748 8.748 8.748
angles (deg): 21.67 21.67 21.67
Fractional positions:
Li (0.506, 0.506, 0.506)
Li (0.994, 0.994, 0.994)
Ag (0.250, 0.250, 0.250)
Tl (0.750, 0.750, 0.750)

Energy of formation from the pure elements   -0.090 eV/atom
Crystal system   trigonal
Space-group type   R-3m